11
Lattice="4.663 -3.420 0.000 4.663 3.420 0.000 -1.602 0.000 4.894" Properties=species:S:1:pos:R:3 comment="CrGe2F8, optimized geometry, DFT PBE+U" dft_energy_ev_per_cell=-56.44 spacegroup="No. 12" vol_a3_per_cell=156.1 pbc="T T T"
Cr 0.000 0.000 0.000
Ge 1.984 0.000 3.661
Ge 5.740 0.000 1.233
F 2.199 2.057 3.766
F 0.002 0.000 3.751
F 5.525 2.057 1.128
F 3.618 0.000 0.668
F 4.107 0.000 4.226
F 2.199 -2.057 3.766
F 7.722 0.000 1.143
F 5.525 -2.057 1.128